Entry 1:
The following is a DFT calculation (PBE) of a relaxed structure of MnBiS2.

Computed properties:
Calculated density: 5.8 g/cm3
Formation energy without anion corrections: -245 meV/atom
Spin magnetization: 0.01 μB/f.u.

Unit cell a=3.454 b=9.083 c=11.933 alpha=90.00 beta=90.00 gamma=90.00
Positions (direct):
Bi1 0.750 0.995 0.614
S1 0.250 0.267 0.146
S2 0.250 0.620 0.589
Mn1 0.750 0.901 0.978
Bi2 0.250 0.005 0.386
Bi3 0.250 0.495 0.886
S3 0.750 0.120 0.911
S4 0.750 0.380 0.411
Mn2 0.250 0.401 0.522
Mn3 0.250 0.099 0.022
Bi4 0.750 0.505 0.114
S5 0.250 0.233 0.646
S6 0.250 0.880 0.089
S7 0.750 0.767 0.354
Mn4 0.750 0.599 0.478
S8 0.750 0.733 0.854

Entry 2:
The following is a DFT calculation (PBE) of a relaxed structure of MnBiS3.

Computed properties:
Calculated density: 4.4 g/cm3
Formation energy without anion corrections: 666 meV/atom
Spin magnetization: 4.91 μB/f.u.
Relative energy among the computed polymorphs: 1030 meV/atom

Unit cell a=5.146 b=5.146 c=5.146 alpha=90.00 beta=90.00 gamma=90.00
Site moments in Bohr magnetons follow the coordinates.
Positions (direct):
S1 0.000 0.000 0.500  0.00
S2 0.500 0.000 0.000  -0.04
Bi1 0.000 0.000 0.000  0.01
Mn1 0.500 0.500 0.500  4.56
S3 0.000 0.500 0.000  -0.01

Q: What is the formation energy without anion corrections in the first record?
A: -245 meV/atom

Copy entry 1 word for word.
The following is a DFT calculation (PBE) of a relaxed structure of MnBiS2.

Computed properties:
Calculated density: 5.8 g/cm3
Formation energy without anion corrections: -245 meV/atom
Spin magnetization: 0.01 μB/f.u.

Unit cell a=3.454 b=9.083 c=11.933 alpha=90.00 beta=90.00 gamma=90.00
Positions (direct):
Bi1 0.750 0.995 0.614
S1 0.250 0.267 0.146
S2 0.250 0.620 0.589
Mn1 0.750 0.901 0.978
Bi2 0.250 0.005 0.386
Bi3 0.250 0.495 0.886
S3 0.750 0.120 0.911
S4 0.750 0.380 0.411
Mn2 0.250 0.401 0.522
Mn3 0.250 0.099 0.022
Bi4 0.750 0.505 0.114
S5 0.250 0.233 0.646
S6 0.250 0.880 0.089
S7 0.750 0.767 0.354
Mn4 0.750 0.599 0.478
S8 0.750 0.733 0.854

Q: What is the formula in the second record?
A: MnBiS3